Entry 1:
First-principles (PBE with a Hubbard U) data for a relaxed structure of HfNi3F, as listed in Alexandria via LeMat-Bulk.

Cell and atoms, written as extended XYZ:
```
5
Lattice="-0.163 -1.659 3.811 -2.337 -3.117 -1.457 3.437 -2.198 -0.810" Properties=species:S:1:pos:R:3 pbc="T T T"
Ni -0.081 -0.829 1.905
Ni -1.168 -1.559 -0.728
Ni 1.719 -1.099 -0.405
Hf 0.469 -3.487 0.772
F 0.000 0.000 0.000
```

Calculated values
VASP energy = -3.5537 eV/atom
crystal system = cubic
SG = No. 221

Entry 2:
First-principles (PBE with a Hubbard U) data for a relaxed structure of HfNiF2, as listed in Alexandria via LeMat-Bulk.

Cell and atoms, written as extended XYZ:
```
4
Lattice="-1.035 0.226 3.909 -3.849 -0.593 1.113 -1.030 -3.356 2.019" Properties=species:S:1:pos:R:3 pbc="T T T"
F -4.435 -2.793 5.281
F -1.478 -0.931 1.760
Hf -2.957 -1.862 3.521
Ni 0.000 0.000 0.000
```

Calculated values
VASP energy = -4.9066 eV/atom
crystal system = cubic
SG = No. 225

Entry 3:
First-principles (PBE with a Hubbard U) data for a relaxed structure of Hf2NiF, as listed in Alexandria via LeMat-Bulk.

Cell and atoms, written as extended XYZ:
```
4
Lattice="0.000 3.138 3.138 3.138 0.000 3.138 3.138 3.138 0.000" Properties=species:S:1:pos:R:3 pbc="T T T"
Hf 4.706 4.706 4.706
Hf 1.569 1.569 1.569
F 0.000 0.000 0.000
Ni 3.138 3.138 3.138
```

Calculated values
VASP energy = -6.4158 eV/atom
crystal system = cubic
SG = No. 225

Entry 4:
First-principles (PBE with a Hubbard U) data for a relaxed structure of HfNi2F, as listed in Alexandria via LeMat-Bulk.

Cell and atoms, written as extended XYZ:
```
8
Lattice="-5.936 0.563 -3.523 -3.413 -2.886 5.290 -5.009 0.857 1.769" Properties=species:S:1:pos:R:3 pbc="T T T"
F -6.548 -1.595 3.971
F -4.674 -1.162 0.884
Hf -7.809 0.129 -0.435
Hf 0.000 0.000 0.000
Ni -5.259 0.193 -1.021
Ni -7.337 -0.292 2.105
Ni -4.257 -1.507 3.231
Ni -11.862 -1.327 2.758
```

Calculated values
VASP energy = -4.2528 eV/atom
crystal system = tetragonal
SG = No. 122

Entry 5:
First-principles (PBE with a Hubbard U) data for a relaxed structure of HfNi2F, as listed in Alexandria via LeMat-Bulk.

Cell and atoms, written as extended XYZ:
```
4
Lattice="0.000 2.984 2.984 2.984 0.000 2.984 2.984 2.984 0.000" Properties=species:S:1:pos:R:3 pbc="T T T"
F 0.000 0.000 0.000
Ni 4.477 4.477 4.477
Ni 1.492 1.492 1.492
Hf 2.984 2.984 2.984
```

Calculated values
VASP energy = -3.8138 eV/atom
crystal system = cubic
SG = No. 225

Entry 6:
First-principles (PBE with a Hubbard U) data for a relaxed structure of Hf3NiF, as listed in Alexandria via LeMat-Bulk.

Cell and atoms, written as extended XYZ:
```
5
Lattice="-2.985 3.218 -0.492 -2.925 -2.358 2.322 1.429 1.895 3.725" Properties=species:S:1:pos:R:3 pbc="T T T"
F 0.000 0.000 0.000
Hf 0.715 0.948 1.862
Hf -1.462 -1.179 1.161
Hf -1.492 1.609 -0.246
Ni -2.240 1.378 2.777
```

Calculated values
VASP energy = -6.8340 eV/atom
crystal system = cubic
SG = No. 221

> What is the formula in the first record?

HfNi3F

> The highest VASP energy belongs to which entry?

HfNi3F

> The lowest VASP energy belongs to which entry?

Hf3NiF

> Which value of VASP energy does entry 5 give?

-3.8138 eV/atom